<a>
BaCaCl3 | PBE-GGA | relaxed

Lattice parameters (Å, degrees): 5.3928 5.3928 5.3928 90.00 90.00 90.00
With the nearest neighbours (Å) after each atom.
Element x y z (fractional)
Ba (0.0000, 0.0000, 0.0000)  12 Cl 3.81
Ca (0.5000, 0.5000, 0.5000)  6 Cl 2.70
Cl (0.0000, 0.5000, 0.5000)  2 Ca 2.70
Cl (0.5000, 0.0000, 0.5000)  2 Ca 2.70
Cl (0.5000, 0.5000, 0.0000)  2 Ca 2.70

Computed properties:
- Volume: 31.4 A^3/atom
- D(E_F): 3.78 states/eV/f.u.

<b>
BaCaCl3 | PBE-GGA | relaxed

Lattice parameters (Å, degrees): 5.9908 5.9908 5.9908 90.00 90.00 90.00
With the nearest neighbours (Å) after each atom.
Element x y z (fractional)
Ba (0.0000, 0.0000, 0.0000)  6 Cl 3.00
Ca (0.5000, 0.5000, 0.5000)  12 Cl 4.24
Cl (0.0000, 0.0000, 0.5000)  2 Ba 3.00
Cl (0.0000, 0.5000, 0.0000)  2 Ba 3.00
Cl (0.5000, 0.0000, 0.0000)  2 Ba 3.00

Computed properties:
- Volume: 43.0 A^3/atom
- D(E_F): 2.30 states/eV/f.u.

Stability check: which of them is most stable? <a>.

<a>
BaCaCl | PBE-GGA | relaxed

Lattice parameters (Å, degrees): 4.5618 4.5618 5.5763 90.00 90.00 90.00
With the nearest neighbours (Å) after each atom.
Element x y z (fractional)
Ba (0.0000, 0.0000, 0.0000)  4 Cl 3.23
Ca (0.5000, 0.5000, 0.5000)  2 Cl 2.79
Cl (0.5000, 0.5000, 0.0000)  2 Ca 2.79

Computed properties:
- Volume: 38.7 A^3/atom
- D(E_F): 3.65 states/eV/f.u.

<b>
BaCaCl | PBE-GGA | relaxed

Lattice parameters (Å, degrees): 4.5110 4.5110 11.3032 90.00 90.00 90.00
With the nearest neighbours (Å) after each atom.
Element x y z (fractional)
Ba (0.2500, 0.2500, 0.1810)  5 Cl 3.29
Ba (0.7500, 0.7500, 0.8190)  5 Cl 3.29
Ca (0.2500, 0.2500, 0.5805)  1 Cl 3.49, 4 Ca 3.67
Ca (0.7500, 0.7500, 0.4195)  1 Cl 3.49, 4 Ca 3.67
Cl (0.2500, 0.2500, 0.8896)  5 Ba 3.29, 1 Ca 3.49
Cl (0.7500, 0.7500, 0.1104)  5 Ba 3.29, 1 Ca 3.49

Computed properties:
- Volume: 38.3 A^3/atom
- D(E_F): 2.78 states/eV/f.u.

<c>
BaCaCl | PBE-GGA | relaxed

Lattice parameters (Å, degrees): 4.1641 6.9765 16.0563 90.00 90.00 90.00
With the nearest neighbours (Å) after each atom.
Element x y z (fractional)
Ba (0.0000, 0.0000, 0.0000)  2 Cl 3.35
Ba (0.0000, 0.5000, 0.5000)  2 Cl 3.35
Ba (0.5000, 0.0000, 0.5000)  2 Cl 3.35
Ba (0.5000, 0.5000, 0.0000)  2 Cl 3.35
Ca (0.0000, 0.0000, 0.7108)  2 Cl 2.90
Ca (0.0000, 0.5000, 0.2108)  2 Cl 2.90
Ca (0.5000, 0.0000, 0.2108)  2 Cl 2.90
Ca (0.5000, 0.5000, 0.7108)  2 Cl 2.90
Cl (0.0000, 0.0000, 0.3367)  2 Ca 2.90
Cl (0.0000, 0.5000, 0.8367)  2 Ca 2.90
Cl (0.5000, 0.0000, 0.8367)  2 Ca 2.90
Cl (0.5000, 0.5000, 0.3367)  2 Ca 2.90

Computed properties:
- Volume: 38.9 A^3/atom
- D(E_F): 3.04 states/eV/f.u.

Stability check: which of them is most stable? <b>.

<a>
BaCaCl | PBE-GGA | relaxed

Lattice parameters (Å, degrees): 8.4084 8.4084 8.4084 90.00 90.00 90.00
With the nearest neighbours (Å) after each atom.
Element x y z (fractional)
Ba (0.0000, 0.0000, 0.0000)  4 Ca 3.64, 4 Cl 3.64
Ba (0.0000, 0.5000, 0.5000)  4 Ca 3.64, 4 Cl 3.64
Ba (0.5000, 0.0000, 0.5000)  4 Ca 3.64, 4 Cl 3.64
Ba (0.5000, 0.5000, 0.0000)  4 Ca 3.64, 4 Cl 3.64
Ca (0.2500, 0.2500, 0.2500)  4 Ba 3.64
Ca (0.2500, 0.7500, 0.7500)  4 Ba 3.64
Ca (0.7500, 0.2500, 0.7500)  4 Ba 3.64
Ca (0.7500, 0.7500, 0.2500)  4 Ba 3.64
Cl (0.2500, 0.2500, 0.7500)  4 Ba 3.64
Cl (0.2500, 0.7500, 0.2500)  4 Ba 3.64
Cl (0.7500, 0.2500, 0.2500)  4 Ba 3.64
Cl (0.7500, 0.7500, 0.7500)  4 Ba 3.64

Computed properties:
- Volume: 49.5 A^3/atom
- D(E_F): 3.02 states/eV/f.u.

<b>
BaCaCl | PBE-GGA | relaxed

Lattice parameters (Å, degrees): 7.8331 7.8331 7.8331 90.00 90.00 90.00
With the nearest neighbours (Å) after each atom.
Element x y z (fractional)
Ba (0.0000, 0.0000, 0.0000)  4 Cl 3.39
Ba (0.0000, 0.5000, 0.5000)  4 Cl 3.39
Ba (0.5000, 0.0000, 0.5000)  4 Cl 3.39
Ba (0.5000, 0.5000, 0.0000)  4 Cl 3.39
Ca (0.0000, 0.0000, 0.5000)  4 Cl 3.39
Ca (0.0000, 0.5000, 0.0000)  4 Cl 3.39
Ca (0.5000, 0.0000, 0.0000)  4 Cl 3.39
Ca (0.5000, 0.5000, 0.5000)  4 Cl 3.39
Cl (0.2500, 0.2500, 0.7500)  4 Ba 3.39, 4 Ca 3.39
Cl (0.2500, 0.7500, 0.2500)  4 Ba 3.39, 4 Ca 3.39
Cl (0.7500, 0.2500, 0.2500)  4 Ba 3.39, 4 Ca 3.39
Cl (0.7500, 0.7500, 0.7500)  4 Ba 3.39, 4 Ca 3.39

Computed properties:
- Volume: 40.1 A^3/atom
- D(E_F): 3.31 states/eV/f.u.

Stability check: which of them is most stable? <b>.